First-principles (PBE) data for crystalline ZrNiH2 at its relaxed geometry, as listed in Alexandria.

abc: 3.511 3.910 5.673
angles: 90.00 107.90 90.00
Fractional coordinates of all 8 atoms:
Zr (0.354, 0.750, 0.708)
Zr (0.646, 0.250, 0.292)
Ni (0.930, 0.250, 0.862)
Ni (0.070, 0.750, 0.138)
H (0.250, 0.250, 0.501)
H (0.750, 0.750, 0.499)
H (0.443, 0.250, 0.887)
H (0.557, 0.750, 0.113)

Computed properties:
Distance to the lowest polymorph of the same formula ... 0 meV per atom
Total DFT energy (no corrections) ... -5.6629 eV per atom
Magnetization ... 0.00 Bohr magnetons per cell
Density ... 6.81 g cm⁻³

---

First-principles (PBE) data for crystalline PmNpH2O6 at its relaxed geometry, as listed in Alexandria.

abc: 5.440 5.652 6.084
angles: 64.87 62.98 56.11
Fractional coordinates of all 10 atoms:
Pm (0.816, 0.816, 0.552)
Np (0.316, 0.316, 0.051)
H (0.453, 0.728, 0.273)
H (0.180, 0.905, 0.830)
O (0.543, 0.222, 0.269)
O (0.250, 0.901, 0.291)
O (0.940, 0.540, 0.277)
O (0.382, 0.732, 0.812)
O (0.693, 0.093, 0.826)
O (0.089, 0.410, 0.834)

Computed properties:
Total DFT energy (no corrections) ... -7.7191 eV per atom
Magnetization ... 0.00 Bohr magnetons per cell
Density ... 5.92 g cm⁻³

---

First-principles (PBE) data for crystalline ZnPdBr4 at its relaxed geometry, as listed in Alexandria.

abc: 3.611 7.374 8.003
angles: 99.49 90.00 104.17
Fractional coordinates of all 6 atoms:
Zn (0.500, 0.000, 0.500)
Pd (0.000, 0.000, 0.000)
Br (0.410, 0.821, 0.113)
Br (0.118, 0.236, 0.464)
Br (0.590, 0.179, 0.887)
Br (0.882, 0.764, 0.536)

Computed properties:
Uncorrected formation energy ... -11.70 kcal/mol of atoms
Total DFT energy (no corrections) ... -2.7005 eV per atom
Magnetization ... 0.00 Bohr magnetons per cell
Density ... 4.01 g cm⁻³

---

First-principles (PBE) data for crystalline TbPm3Sm3Te8 at its relaxed geometry, as listed in Alexandria.

abc: 8.868 8.868 8.874
angles: 119.98 90.00 120.00
Fractional coordinates of all 15 atoms:
Tb (0.000, 0.000, 0.500)
Pm (0.000, 0.000, 0.000)
Pm (0.000, 0.500, 0.000)
Pm (0.500, 0.500, 0.000)
Sm (0.500, 0.000, 0.500)
Sm (0.500, 0.500, 0.500)
Sm (0.000, 0.500, 0.500)
Te (0.251, 0.501, 0.252)
Te (0.749, 0.499, 0.748)
Te (0.748, 0.496, 0.249)
Te (0.252, 0.504, 0.751)
Te (0.748, 0.001, 0.249)
Te (0.252, 0.999, 0.751)
Te (0.253, 0.001, 0.249)
Te (0.747, 0.999, 0.751)

Computed properties:
Uncorrected formation energy ... -33.12 kcal/mol of atoms
Total DFT energy (no corrections) ... -5.3145 eV per atom
Magnetization ... 0.00 Bohr magnetons per cell
Density ... 6.95 g cm⁻³

---

First-principles (PBE) data for crystalline KSiHgF6 at its relaxed geometry, as listed in Alexandria.

abc: 6.083 6.082 4.951
angles: 90.01 89.99 59.90
Each line ends with the local moment (μB).
Fractional coordinates of all 9 atoms:
K (0.000, 0.000, 0.000)  0.00
Si (0.333, 0.333, 0.500)  0.00
Hg (0.666, 0.666, 0.500)  0.30
F (0.105, 0.328, 0.299)  0.03
F (0.328, 0.104, 0.701)  0.03
F (0.567, 0.329, 0.701)  0.03
F (0.103, 0.568, 0.701)  0.03
F (0.328, 0.567, 0.299)  0.03
F (0.568, 0.104, 0.300)  0.03

Computed properties:
Uncorrected formation energy ... -59.72 kcal/mol of atoms
Total DFT energy (no corrections) ... -4.5954 eV per atom
Magnetization ... 0.62 Bohr magnetons per cell
Density ... 4.00 g cm⁻³

---

First-principles (PBE) data for crystalline Pm3AlTl4Se8 at its relaxed geometry, as listed in Alexandria.

abc: 8.392 9.148 8.393
angles: 117.33 120.00 90.00
Fractional coordinates of all 16 atoms:
Pm (0.500, 0.500, 0.000)
Pm (0.500, 0.500, 0.500)
Pm (0.000, 0.500, 0.500)
Al (0.000, 0.500, 0.000)
Tl (0.500, 0.000, 0.000)
Tl (0.500, 0.000, 0.500)
Tl (0.000, 0.000, 0.000)
Tl (0.000, 0.000, 0.500)
Se (0.219, 0.698, 0.979)
Se (0.219, 0.698, 0.438)
Se (0.262, 0.287, 0.525)
Se (0.761, 0.698, 0.979)
Se (0.239, 0.302, 0.021)
Se (0.738, 0.713, 0.475)
Se (0.781, 0.302, 0.562)
Se (0.781, 0.302, 0.021)

Computed properties:
Uncorrected formation energy ... -26.62 kcal/mol of atoms
Total DFT energy (no corrections) ... -4.6129 eV per atom
Magnetization ... 0.00 Bohr magnetons per cell
Density ... 6.71 g cm⁻³

---

First-principles (PBE) data for crystalline Pm3AgAu4 at its relaxed geometry, as listed in Alexandria.

abc: 4.881 5.513 10.303
angles: 132.60 103.70 90.00
Fractional coordinates of all 8 atoms:
Pm (0.000, 0.500, 0.000)
Pm (0.276, 0.311, 0.553)
Pm (0.724, 0.689, 0.447)
Ag (0.500, 0.000, 0.000)
Au (0.637, 0.966, 0.274)
Au (0.363, 0.034, 0.726)
Au (0.891, 0.741, 0.782)
Au (0.109, 0.259, 0.218)

Computed properties:
Distance to the lowest polymorph of the same formula ... 0 meV per atom
Total DFT energy (no corrections) ... -4.4594 eV per atom
Magnetization ... 0.00 Bohr magnetons per cell
Density ... 11.44 g cm⁻³
E_form ... -683 meV/atom

---

First-principles (PBE) data for crystalline La3Er2In3 at its relaxed geometry, as listed in Alexandria.

abc: 3.377 8.977 8.977
angles: 120.00 90.00 90.00
Fractional coordinates of all 8 atoms:
La (0.000, 0.757, 0.757)
La (0.000, 0.243, 0.000)
La (0.000, 0.000, 0.243)
Er (0.000, 0.333, 0.667)
Er (0.000, 0.667, 0.333)
In (0.500, 0.393, 0.393)
In (0.500, 0.607, 0.000)
In (0.500, 0.000, 0.607)

Computed properties:
Distance to the lowest polymorph of the same formula ... 15 meV per atom
Total DFT energy (no corrections) ... -4.3675 eV per atom
Magnetization ... 0.00 Bohr magnetons per cell
Density ... 7.72 g cm⁻³
E_form ... -352 meV/atom

---

First-principles (PBE) data for crystalline ScSb3Au at its relaxed geometry, as listed in Alexandria.

abc: 5.360 5.360 5.360
angles: 90.00 90.00 90.00
Fractional coordinates of all 5 atoms:
Sc (0.500, 0.500, 0.500)
Sb (0.000, 0.500, 0.000)
Sb (0.000, 0.000, 0.500)
Sb (0.500, 0.000, 0.000)
Au (0.000, 0.000, 0.000)

Computed properties:
Uncorrected formation energy ... 9.66 kcal/mol of atoms
Distance to the lowest polymorph of the same formula ... 29 meV per atom
Total DFT energy (no corrections) ... -3.9763 eV per atom
Magnetization ... 0.00 Bohr magnetons per cell
Density ... 6.55 g cm⁻³

---

First-principles (PBE) data for crystalline BaYIn at its relaxed geometry, as listed in Alexandria.

abc: 5.552 5.552 4.168
angles: 90.00 90.00 120.00
Fractional coordinates of all 3 atoms:
Ba (0.000, 0.000, 0.000)
In (0.667, 0.333, 0.500)
Y (0.333, 0.667, 0.500)

Computed properties:
Distance to the lowest polymorph of the same formula ... 217 meV per atom
Total DFT energy (no corrections) ... -3.8288 eV per atom
Magnetization ... 0.01 Bohr magnetons per cell
Density ... 5.09 g cm⁻³
E_form ... -120 meV/atom

---

First-principles (PBE) data for crystalline YHfSc3 at its relaxed geometry, as listed in Alexandria.

abc: 5.836 7.765 8.844
angles: 136.67 70.52 112.39
Fractional coordinates of all 10 atoms:
Y (0.591, 0.245, 0.248)
Y (0.409, 0.755, 0.752)
Hf (0.175, 0.250, 0.054)
Hf (0.825, 0.750, 0.946)
Sc (0.208, 0.740, 0.151)
Sc (0.024, 0.763, 0.560)
Sc (0.614, 0.742, 0.332)
Sc (0.386, 0.258, 0.668)
Sc (0.792, 0.260, 0.849)
Sc (0.976, 0.237, 0.440)

Computed properties:
Distance to the lowest polymorph of the same formula ... 0 meV per atom
Total DFT energy (no corrections) ... -7.0357 eV per atom
Magnetization ... 0.00 Bohr magnetons per cell
Density ... 5.28 g cm⁻³
E_form ... 47 meV/atom

---

First-principles (PBE) data for crystalline SrCdSiPd3 at its relaxed geometry, as listed in Alexandria.

abc: 6.029 5.820 8.436
angles: 110.18 90.00 90.00
Fractional coordinates of all 12 atoms:
Sr (0.750, 0.254, 0.508)
Sr (0.250, 0.746, 0.492)
Cd (0.250, 0.382, 0.764)
Cd (0.750, 0.618, 0.236)
Si (0.250, 0.066, 0.132)
Si (0.750, 0.934, 0.868)
Pd (0.250, 0.212, 0.424)
Pd (0.000, 0.256, 0.000)
Pd (0.500, 0.744, 0.000)
Pd (0.500, 0.256, 0.000)
Pd (0.000, 0.744, 0.000)
Pd (0.750, 0.788, 0.576)

Computed properties:
Uncorrected formation energy ... -10.72 kcal/mol of atoms
Total DFT energy (no corrections) ... -4.3981 eV per atom
Magnetization ... 0.00 Bohr magnetons per cell
Density ... 6.54 g cm⁻³

---

Which of these has the highest magnetization? KSiHgF6

---

Copy entry 8 word for word.
First-principles (PBE) data for crystalline La3Er2In3 at its relaxed geometry, as listed in Alexandria.

abc: 3.377 8.977 8.977
angles: 120.00 90.00 90.00
Fractional coordinates of all 8 atoms:
La (0.000, 0.757, 0.757)
La (0.000, 0.243, 0.000)
La (0.000, 0.000, 0.243)
Er (0.000, 0.333, 0.667)
Er (0.000, 0.667, 0.333)
In (0.500, 0.393, 0.393)
In (0.500, 0.607, 0.000)
In (0.500, 0.000, 0.607)

Computed properties:
Distance to the lowest polymorph of the same formula ... 15 meV per atom
Total DFT energy (no corrections) ... -4.3675 eV per atom
Magnetization ... 0.00 Bohr magnetons per cell
Density ... 7.72 g cm⁻³
E_form ... -352 meV/atom

---

Please write out number 8 again, unchanged.
First-principles (PBE) data for crystalline La3Er2In3 at its relaxed geometry, as listed in Alexandria.

abc: 3.377 8.977 8.977
angles: 120.00 90.00 90.00
Fractional coordinates of all 8 atoms:
La (0.000, 0.757, 0.757)
La (0.000, 0.243, 0.000)
La (0.000, 0.000, 0.243)
Er (0.000, 0.333, 0.667)
Er (0.000, 0.667, 0.333)
In (0.500, 0.393, 0.393)
In (0.500, 0.607, 0.000)
In (0.500, 0.000, 0.607)

Computed properties:
Distance to the lowest polymorph of the same formula ... 15 meV per atom
Total DFT energy (no corrections) ... -4.3675 eV per atom
Magnetization ... 0.00 Bohr magnetons per cell
Density ... 7.72 g cm⁻³
E_form ... -352 meV/atom

---

The highest density belongs to which entry? Pm3AgAu4